# 1
{"formula": "Ba2Zr", "functional": "PBE-GGA", "state": "relaxed", "lattice_angstrom": [[-5.206, 0.479, 7.440], [-8.281, -1.413, 3.480], [7.445, -2.036, -4.808]], "species": ["Ba", "Ba", "Zr"], "frac_coords": [[0.645, 0.645, 0.000], [0.355, 0.355, 0.000], [0.000, 0.000, 0.000]], "e_tot_ev_per_atom": -3.574, "density_g_cm3": 4.87, "ef_ev_per_fu": 1.672, "total_magnetization_mub_per_fu": 0.002, "spacegroup": "I4/mmm (139)"}

=====

# 2
{"formula": "BaZr", "functional": "PBE-GGA", "state": "relaxed", "lattice_angstrom": [[-1.110, -1.563, -3.574], [3.896, -0.638, -0.931], [-0.204, -3.688, 1.676]], "species": ["Ba", "Zr"], "frac_coords": [[0.000, 0.000, 0.000], [0.500, 0.500, 0.500]], "e_tot_ev_per_atom": -4.305, "density_g_cm3": 5.69, "ef_ev_per_fu": 1.860, "total_magnetization_mub_per_fu": 0.000, "spacegroup": "Pm-3m (221)"}

=====

# 3
{"formula": "BaZr", "functional": "PBE-GGA", "state": "relaxed", "lattice_angstrom": [[-5.029, -6.243, -0.830], [-1.764, -7.801, -0.989], [-0.927, -2.712, 7.521]], "species": ["Ba", "Ba", "Ba", "Zr", "Zr", "Zr"], "frac_coords": [[0.336, 0.336, 0.361], [0.644, 0.644, 0.729], [0.610, 0.610, 0.231], [0.960, 0.960, 0.993], [0.955, 0.955, 0.633], [0.328, 0.328, 0.885]], "e_tot_ev_per_atom": -4.768, "density_g_cm3": 5.13, "ef_ev_per_fu": 0.935, "total_magnetization_mub_per_fu": 0.000, "spacegroup": "Cm (8)"}

=====

# 4
{"formula": "Ba2Zr", "functional": "PBE-GGA", "state": "relaxed", "lattice_angstrom": [[5.056, -5.225, -5.479], [5.175, -1.845, -7.260], [7.631, 1.052, 2.505]], "species": ["Ba", "Ba", "Ba", "Ba", "Zr", "Zr"], "frac_coords": [[0.837, 0.837, 0.108], [0.117, 0.117, 0.433], [0.163, 0.163, 0.892], [0.883, 0.883, 0.567], [0.497, 0.497, 0.829], [0.503, 0.503, 0.171]], "e_tot_ev_per_atom": -3.661, "density_g_cm3": 4.58, "ef_ev_per_fu": 1.410, "total_magnetization_mub_per_fu": 0.456, "spacegroup": "C2/m (12)"}

=====

# 5
{"formula": "Ba4Zr", "functional": "PBE-GGA", "state": "relaxed", "lattice_angstrom": [[-5.112, -3.945, 1.037], [2.227, -4.092, -4.590], [3.418, -3.235, 4.542]], "species": ["Ba", "Ba", "Ba", "Ba", "Zr"], "frac_coords": [[0.000, 0.000, 0.000], [0.500, 0.000, 0.500], [0.000, 0.500, 0.500], [0.500, 0.500, 0.000], [0.500, 0.500, 0.500]], "e_tot_ev_per_atom": -2.711, "density_g_cm3": 3.80, "ef_ev_per_fu": 2.684, "total_magnetization_mub_per_fu": 0.209, "spacegroup": "Pm-3m (221)"}

=====

# 6
{"formula": "Ba4Zr5", "functional": "PBE-GGA", "state": "relaxed", "lattice_angstrom": [[-8.000, 0.846, -6.025], [0.982, -8.040, 5.950], [-3.242, 3.114, 4.743]], "species": ["Ba", "Ba", "Ba", "Ba", "Ba", "Ba", "Ba", "Ba", "Zr", "Zr", "Zr", "Zr", "Zr", "Zr", "Zr", "Zr", "Zr", "Zr"], "frac_coords": [[0.000, 0.000, 0.000], [0.000, 0.000, 0.500], [0.000, 0.308, 0.250], [0.692, 0.692, 0.250], [0.308, 0.000, 0.250], [0.000, 0.692, 0.750], [0.308, 0.308, 0.750], [0.692, 0.000, 0.750], [0.000, 0.601, 0.250], [0.399, 0.399, 0.250], [0.601, 0.000, 0.250], [0.000, 0.399, 0.750], [0.601, 0.601, 0.750], [0.399, 0.000, 0.750], [0.667, 0.333, 0.000], [0.333, 0.667, 0.500], [0.333, 0.667, 0.000], [0.667, 0.333, 0.500]], "e_tot_ev_per_atom": -4.819, "density_g_cm3": 5.84, "ef_ev_per_fu": 7.064, "total_magnetization_mub_per_fu": 0.001, "spacegroup": "P6_3/mcm (193)"}

=====

# 7
{"formula": "Ba4Zr", "functional": "PBE-GGA", "state": "relaxed", "lattice_angstrom": [[-4.145, 4.145, 4.145], [4.145, -4.145, 4.145], [4.145, 4.145, -4.145]], "species": ["Ba", "Ba", "Ba", "Ba", "Zr"], "frac_coords": [[0.500, 0.000, 0.000], [0.500, 0.500, 0.500], [0.000, 0.500, 0.000], [0.000, 0.000, 0.500], [0.000, 0.000, 0.000]], "e_tot_ev_per_atom": -2.627, "density_g_cm3": 3.73, "ef_ev_per_fu": 3.106, "total_magnetization_mub_per_fu": 0.001, "spacegroup": "Im-3m (229)"}

=====

# 8
{"formula": "Ba3Zr", "functional": "PBE-GGA", "state": "relaxed", "lattice_angstrom": [[-3.145, 3.084, -6.861], [-4.653, -0.700, 6.658], [1.768, 5.942, 1.860]], "species": ["Ba", "Ba", "Ba", "Ba", "Ba", "Ba", "Zr", "Zr"], "frac_coords": [[0.175, 0.825, 0.750], [0.825, 0.175, 0.250], [0.651, 0.825, 0.750], [0.349, 0.175, 0.250], [0.825, 0.651, 0.250], [0.175, 0.349, 0.750], [0.666, 0.334, 0.750], [0.334, 0.666, 0.250]], "e_tot_ev_per_atom": -3.037, "density_g_cm3": 4.48, "ef_ev_per_fu": 2.169, "total_magnetization_mub_per_fu": 2.415, "spacegroup": "Cmcm (63)"}

=====

# 9
{"formula": "BaZr", "functional": "PBE-GGA", "state": "relaxed", "lattice_angstrom": [[-0.389, 6.348, -0.883], [-1.199, 0.434, -6.293], [-2.882, -2.677, 5.076]], "species": ["Ba", "Ba", "Zr", "Zr"], "frac_coords": [[0.343, 0.593, 0.250], [0.657, 0.407, 0.750], [0.941, 0.191, 0.250], [0.059, 0.809, 0.750]], "e_tot_ev_per_atom": -4.598, "density_g_cm3": 4.88, "ef_ev_per_fu": 1.275, "total_magnetization_mub_per_fu": 0.000, "spacegroup": "Imma (74)"}

=====

# 10
{"formula": "Ba3Zr", "functional": "PBE-GGA", "state": "relaxed", "lattice_angstrom": [[-0.550, -1.909, -3.346], [-5.326, -2.630, 2.376], [-3.894, 5.586, -2.546]], "species": ["Ba", "Ba", "Ba", "Zr"], "frac_coords": [[0.000, 0.000, 0.038], [0.500, 0.000, 0.498], [0.500, 0.500, 0.817], [0.000, 0.500, 0.313]], "e_tot_ev_per_atom": -3.029, "density_g_cm3": 4.62, "ef_ev_per_fu": 2.200, "total_magnetization_mub_per_fu": 1.699, "spacegroup": "Pmm2 (25)"}

=====

# 11
{"formula": "Ba2Zr", "functional": "PBE-GGA", "state": "relaxed", "lattice_angstrom": [[1.867, -16.828, 0.000], [1.867, 16.828, 0.000], [0.000, 0.000, 4.349]], "species": ["Ba", "Ba", "Ba", "Ba", "Zr", "Zr"], "frac_coords": [[0.658, 0.342, 0.750], [0.948, 0.052, 0.750], [0.052, 0.948, 0.250], [0.342, 0.658, 0.250], [0.262, 0.738, 0.750], [0.738, 0.262, 0.250]], "e_tot_ev_per_atom": -3.730, "density_g_cm3": 4.45, "ef_ev_per_fu": 1.204, "total_magnetization_mub_per_fu": 0.000, "spacegroup": "Cmcm (63)"}

=====

# 12
{"formula": "Ba2Zr", "functional": "PBE-GGA", "state": "relaxed", "lattice_angstrom": [[3.624, 0.000, 0.000], [0.000, 8.558, 0.000], [0.000, 0.000, 8.638]], "species": ["Ba", "Ba", "Ba", "Ba", "Zr", "Zr"], "frac_coords": [[0.000, 0.326, 0.802], [0.000, 0.674, 0.198], [0.500, 0.174, 0.302], [0.500, 0.826, 0.698], [0.000, 0.000, 0.000], [0.500, 0.500, 0.500]], "e_tot_ev_per_atom": -3.340, "density_g_cm3": 4.54, "ef_ev_per_fu": 2.375, "total_magnetization_mub_per_fu": 0.576, "spacegroup": "Pnnm (58)"}

=====

# 13
{"formula": "Ba3Zr", "functional": "PBE-GGA", "state": "relaxed", "lattice_angstrom": [[-3.108, 6.030, -1.167], [-6.767, -1.038, 0.718], [5.219, -1.581, 4.201]], "species": ["Ba", "Ba", "Ba", "Zr"], "frac_coords": [[0.250, 0.750, 0.500], [0.500, 0.500, 0.000], [0.750, 0.250, 0.500], [0.000, 0.000, 0.000]], "e_tot_ev_per_atom": -3.015, "density_g_cm3": 4.51, "ef_ev_per_fu": 2.257, "total_magnetization_mub_per_fu": 2.349, "spacegroup": "I4/mmm (139)"}

=====

# 14
{"formula": "Ba3Zr", "functional": "PBE-GGA", "state": "relaxed", "lattice_angstrom": [[7.925, 0.478, 0.437], [3.712, 7.019, -0.437], [-5.048, -4.945, 3.647]], "species": ["Ba", "Ba", "Ba", "Zr"], "frac_coords": [[0.290, 0.290, 0.000], [0.710, 0.710, 0.000], [0.000, 0.500, 0.500], [0.500, 0.000, 0.500]], "e_tot_ev_per_atom": -3.049, "density_g_cm3": 4.45, "ef_ev_per_fu": 2.119, "total_magnetization_mub_per_fu": 0.919, "spacegroup": "Immm (71)"}

=====

# 15
{"formula": "Ba2Zr", "functional": "PBE-GGA", "state": "relaxed", "lattice_angstrom": [[6.271, 0.000, 0.000], [-3.136, 5.431, 0.000], [0.000, 0.000, 3.492]], "species": ["Ba", "Ba", "Zr"], "frac_coords": [[0.333, 0.667, 0.500], [0.667, 0.333, 0.500], [0.000, 0.000, 0.000]], "e_tot_ev_per_atom": -3.443, "density_g_cm3": 5.11, "ef_ev_per_fu": 2.064, "total_magnetization_mub_per_fu": 0.868, "spacegroup": "P6/mmm (191)"}

=====

# 16
{"formula": "Ba3Zr5", "functional": "PBE-GGA", "state": "relaxed", "lattice_angstrom": [[-4.857, 5.119, -1.172], [-4.860, -5.241, -0.282], [-0.701, 0.400, 4.650]], "species": ["Ba", "Ba", "Ba", "Zr", "Zr", "Zr", "Zr", "Zr"], "frac_coords": [[0.500, 0.500, 0.000], [0.747, 0.747, 0.500], [0.253, 0.253, 0.500], [0.000, 0.000, 0.000], [0.500, 0.000, 0.000], [0.000, 0.500, 0.000], [0.782, 0.218, 0.500], [0.218, 0.782, 0.500]], "e_tot_ev_per_atom": -5.363, "density_g_cm3": 5.98, "ef_ev_per_fu": 5.602, "total_magnetization_mub_per_fu": 0.000, "spacegroup": "Cmmm (65)"}

=====

# 17
{"formula": "Ba3Zr", "functional": "PBE-GGA", "state": "relaxed", "lattice_angstrom": [[-1.556, 1.564, -3.286], [1.779, -3.533, -0.140], [-11.526, -5.909, 2.646]], "species": ["Ba", "Ba", "Ba", "Zr"], "frac_coords": [[0.000, 0.000, 0.961], [0.000, 0.000, 0.539], [0.667, 0.333, 0.250], [0.667, 0.333, 0.750]], "e_tot_ev_per_atom": -3.103, "density_g_cm3": 4.66, "ef_ev_per_fu": 1.903, "total_magnetization_mub_per_fu": 0.000, "spacegroup": "P-6m2 (187)"}

=====

# 18
{"formula": "Ba2Zr", "functional": "PBE-GGA", "state": "relaxed", "lattice_angstrom": [[1.883, -10.236, 0.000], [1.883, 10.236, 0.000], [0.000, 0.000, 6.426]], "species": ["Ba", "Ba", "Ba", "Ba", "Zr", "Zr"], "frac_coords": [[0.778, 0.222, 0.750], [0.450, 0.550, 0.750], [0.222, 0.778, 0.250], [0.550, 0.450, 0.250], [0.117, 0.883, 0.750], [0.883, 0.117, 0.250]], "e_tot_ev_per_atom": -3.467, "density_g_cm3": 4.90, "ef_ev_per_fu": 1.994, "total_magnetization_mub_per_fu": 1.912, "spacegroup": "Cmcm (63)"}

=====

# 19
{"formula": "Ba3Zr", "functional": "PBE-GGA", "state": "relaxed", "lattice_angstrom": [[5.717, 0.000, 0.000], [0.000, 5.717, 0.000], [0.000, 0.000, 5.717]], "species": ["Ba", "Ba", "Ba", "Zr"], "frac_coords": [[0.000, 0.500, 0.500], [0.500, 0.000, 0.500], [0.500, 0.500, 0.000], [0.000, 0.000, 0.000]], "e_tot_ev_per_atom": -3.002, "density_g_cm3": 4.47, "ef_ev_per_fu": 2.309, "total_magnetization_mub_per_fu": 2.332, "spacegroup": "Pm-3m (221)"}

=====

# 20
{"formula": "Ba2Zr3", "functional": "PBE-GGA", "state": "relaxed", "lattice_angstrom": [[-8.985, 1.963, 2.585], [-5.199, 7.204, 0.654], [-4.712, -0.633, -4.788]], "species": ["Ba", "Ba", "Ba", "Ba", "Zr", "Zr", "Zr", "Zr", "Zr", "Zr"], "frac_coords": [[0.468, 0.436, 0.864], [0.233, 0.864, 0.436], [0.814, 0.782, 0.017], [0.386, 0.017, 0.782], [0.530, 0.279, 0.378], [0.813, 0.378, 0.279], [0.971, 0.720, 0.437], [0.872, 0.437, 0.720], [0.956, 0.044, 0.044], [0.206, 0.294, 0.294]], "e_tot_ev_per_atom": -5.207, "density_g_cm3": 5.24, "ef_ev_per_fu": 3.454, "total_magnetization_mub_per_fu": 0.000, "spacegroup": "Fdd2 (43)"}